#1
The following is a DFT calculation (GGA-PBE) of a relaxed structure of BeCo2HRh.

Cell: 3.4667 3.4667 3.9599 Å, 90.00 90.00 90.00°
With the nearest neighbours (Å) after each atom.
Space group P4/mmm (No. 123)
Unique sites:
1 Be 0.0000 0.0000 0.0000  4 Rh 2.45, 8 Co 2.63
2 Co 0.0000 0.5000 0.5000  2 H 1.73
3 H 0.5000 0.5000 0.5000  4 Co 1.73
4 Rh 0.5000 0.5000 0.0000  2 H 1.98

Results
mass density = 8.1 g/cm³
volume = 9.5 Å³/atom

=====

#2
The following is a DFT calculation (GGA-PBE) of a relaxed structure of BeCo2HRh.

Cell: 3.4301 3.4301 3.8652 Å, 90.00 90.00 90.00°
With the nearest neighbours (Å) after each atom.
Space group P4/mmm (No. 123)
Unique sites:
1 Be 0.0000 0.0000 0.0000  2 H 1.93
2 Co 0.0000 0.5000 0.5000  2 H 1.72
3 H 0.0000 0.0000 0.5000  4 Co 1.72
4 Rh 0.5000 0.5000 0.0000  4 Be 2.43, 8 Co 2.58

Results
mass density = 8.4 g/cm³
volume = 9.1 Å³/atom

=====

How do the energies compare? Relative to the most stable structure, in meV per atom: #1 0; #2 28.

=====

#1
The following is a DFT calculation (GGA-PBE) of a relaxed structure of BeVCo2H.

Cell: 3.5500 3.5500 3.5437 Å, 90.00 90.00 90.00°
With the nearest neighbours (Å) after each atom.
Space group P4/mmm (No. 123)
Unique sites:
1 Be 0.0000 0.0000 0.0000  8 Co 2.51, 4 V 2.51
2 V 0.5000 0.5000 0.0000  2 H 1.77
3 Co 0.0000 0.5000 0.5000  2 H 1.78
4 H 0.5000 0.5000 0.5000  2 V 1.77, 4 Co 1.78

Results
mass density = 6.6 g/cm³
volume = 8.9 Å³/atom

=====

#2
The following is a DFT calculation (GGA-PBE) of a relaxed structure of BeVCo2H.

Cell: 3.6174 3.6174 3.3669 Å, 90.00 90.00 90.00°
With the nearest neighbours (Å) after each atom.
Space group P4/mmm (No. 123)
Unique sites:
1 Be 0.0000 0.0000 0.0000  2 H 1.68
2 V 0.5000 0.5000 0.0000  8 Co 2.47, 4 Be 2.56
3 Co 0.0000 0.5000 0.5000  2 H 1.81
4 H 0.0000 0.0000 0.5000  2 Be 1.68, 4 Co 1.81

Results
mass density = 6.7 g/cm³
volume = 8.8 Å³/atom

=====

How do the energies compare? Relative to the most stable structure, in meV per atom: #1 0; #2 51.

=====

#1
The following is a DFT calculation (GGA-PBE) of a relaxed structure of Zr2BeCoH.

Cell: 4.3922 4.3922 3.4196 Å, 90.00 90.00 90.00°
With the nearest neighbours (Å) after each atom.
Space group P4/mmm (No. 123)
Unique sites:
1 Zr 0.0000 0.5000 0.0000  2 H 2.20
2 Be 0.0000 0.0000 0.5000  2 H 1.71
3 Co 0.5000 0.5000 0.5000  8 Zr 2.78, 4 Be 3.11
4 H 0.0000 0.0000 0.0000  2 Be 1.71

Results
mass density = 6.3 g/cm³
volume = 13.2 Å³/atom

=====

#2
The following is a DFT calculation (GGA-PBE) of a relaxed structure of Zr2BeCoH.

Cell: 4.4196 4.4196 3.4217 Å, 90.00 90.00 90.00°
With the nearest neighbours (Å) after each atom.
Space group P4/mmm (No. 123)
Unique sites:
1 Zr 0.0000 0.5000 0.0000  2 H 2.21
2 Be 0.0000 0.0000 0.5000  8 Zr 2.79, 4 Co 3.13
3 Co 0.5000 0.5000 0.5000  2 H 1.71
4 H 0.5000 0.5000 0.0000  2 Co 1.71

Results
mass density = 6.2 g/cm³
volume = 13.4 Å³/atom

=====

How do the energies compare? Relative to the most stable structure, in meV per atom: #1 55; #2 0.

=====

#1
The following is a DFT calculation (GGA-PBE) of a relaxed structure of Hf3BeCo.

Cell: 4.7187 4.7187 4.7187 Å, 90.00 90.00 90.00°
With the nearest neighbours (Å) after each atom.
Space group Pm-3m (No. 221)
Unique sites:
1 Hf 0.0000 0.0000 0.5000  2 Co 2.36
2 Be 0.5000 0.5000 0.5000  12 Hf 3.34
3 Co 0.0000 0.0000 0.0000  6 Hf 2.36

Results
mass density = 9.5 g/cm³
volume = 21.0 Å³/atom

=====

#2
The following is a DFT calculation (GGA-PBE) of a relaxed structure of Hf3BeCo.

Cell: 8.8563 5.5444 7.8118 Å, 90.00 116.53 90.00°
With the nearest neighbours (Å) after each atom.
Space group C2/m (No. 12)
Unique sites:
1 Hf 0.0069 0.0000 0.2612  2 Co 2.51, 2 Be 2.56
2 Hf 0.1961 0.5000 0.8607  4 Co 2.74-2.84, 2 Be 2.77
3 Hf 0.1975 0.5000 0.3346  2 Co 2.72, 4 Be 2.80-2.96, 1 Hf 3.04
4 Be 0.0000 0.3115 0.5000  1 Be 2.09
5 Co 0.0000 0.2708 0.0000  6 Hf 2.51-2.74, 1 Co 2.54

Results
mass density = 11.7 g/cm³
volume = 17.2 Å³/atom

=====

How do the energies compare? Relative to the most stable structure, in meV per atom: #1 641; #2 0.

=====

#1
The following is a DFT calculation (GGA-PBE) of a relaxed structure of Hf2BeCo2.

Cell: 5.3531 10.8845 5.1194 Å, 90.00 90.00 90.00°
With the nearest neighbours (Å) after each atom.
Space group Ibam (No. 72)
Unique sites:
1 Hf 0.1692 0.1358 0.0000  5 Co 2.54-2.74, 2 Be 2.64
2 Be 0.0000 0.5000 0.2500  4 Co 2.15
3 Co 0.1804 0.3690 0.0000  2 Be 2.15

Results
mass density = 10.8 g/cm³
volume = 14.9 Å³/atom

=====

#2
The following is a DFT calculation (GGA-PBE) of a relaxed structure of Hf2BeCo2.

Cell: 6.0497 6.0497 3.9848 Å, 90.00 90.00 90.00°
With the nearest neighbours (Å) after each atom.
Space group P4/mbm (No. 127)
Unique sites:
1 Hf 0.1792 0.3208 0.0000  6 Co 2.55-2.77
2 Be 0.0000 0.0000 0.5000  4 Co 2.36
3 Co 0.1346 0.6346 0.5000  1 Co 2.30, 2 Be 2.36, 2 Hf 2.55

Results
mass density = 11.0 g/cm³
volume = 14.6 Å³/atom

=====

#3
The following is a DFT calculation (GGA-PBE) of a relaxed structure of Hf2BeCo2.

Cell: 3.6050 5.1906 7.7027 Å, 90.00 90.00 90.00°
With the nearest neighbours (Å) after each atom.
Space group Immm (No. 71)
Unique sites:
1 Hf 0.0000 0.0000 0.2007  6 Co 2.66-2.69, 2 Be 2.93
2 Be 0.0000 0.5000 0.0000  4 Co 2.24
3 Co 0.0000 0.2563 0.5000  2 Be 2.24

Results
mass density = 11.1 g/cm³
volume = 14.4 Å³/atom

=====

How do the energies compare? Relative to the most stable structure, in meV per atom: #1 226; #2 160; #3 0.

=====

#1
The following is a DFT calculation (GGA-PBE) of a relaxed structure of HfBe2Co.

Cell: 3.8517 3.8517 14.7030 Å, 90.00 90.00 90.00°
With the nearest neighbours (Å) after each atom.
Space group I4_1/amd (No. 141, origin choice 2)
Unique sites:
1 Hf 0.0000 0.2500 0.3750  4 Co 2.72, 8 Be 2.83
2 Be 0.0000 0.0000 0.0000  2 Be 1.93, 2 Co 2.07
3 Co 0.0000 0.2500 0.8750  4 Be 2.07

Results
mass density = 7.8 g/cm³
volume = 13.6 Å³/atom

=====

#2
The following is a DFT calculation (GGA-PBE) of a relaxed structure of HfBe2Co.

Cell: 2.8309 2.8309 5.9161 Å, 90.00 90.00 90.00°
With the nearest neighbours (Å) after each atom.
Space group P4/mmm (No. 123)
Unique sites:
1 Hf 0.0000 0.0000 0.0000  8 Be 2.74, 4 Hf 2.83, 2 Co 2.96
2 Be 0.5000 0.5000 0.3175  1 Be 2.16, 4 Co 2.27
3 Co 0.0000 0.0000 0.5000  8 Be 2.27

Results
mass density = 8.9 g/cm³
volume = 11.9 Å³/atom

=====

#3
The following is a DFT calculation (GGA-PBE) of a relaxed structure of HfBe2Co.

Cell: 5.7196 5.7196 5.7196 Å, 90.00 90.00 90.00°
With the nearest neighbours (Å) after each atom.
Space group Fm-3m (No. 225)
Unique sites:
1 Hf 0.0000 0.0000 0.0000  8 Be 2.48
2 Be 0.2500 0.2500 0.2500  4 Hf 2.48, 4 Co 2.48
3 Co 0.0000 0.0000 0.5000  8 Be 2.48

Results
mass density = 9.1 g/cm³
volume = 11.7 Å³/atom

=====

How do the energies compare? Relative to the most stable structure, in meV per atom: #1 350; #2 29; #3 0.

=====

#1
The following is a DFT calculation (GGA-PBE) of a relaxed structure of Hf4BeCo.

Cell: 7.8364 12.3206 5.3915 Å, 90.00 121.86 90.00°
With the nearest neighbours (Å) after each atom.
Space group C2/c (No. 15)
Unique sites:
1 Hf 0.1297 0.1884 0.1009  2 Be 2.66-2.73, 2 Co 2.81-2.83
2 Hf 0.2062 0.4320 0.2839  2 Co 2.49-2.55, 1 Be 2.57
3 Be 0.0000 0.3678 0.7500  6 Hf 2.57-2.73
4 Co 0.0000 0.0007 0.2500  4 Hf 2.49-2.55, 2 Co 2.70

Results
mass density = 11.7 g/cm³
volume = 18.4 Å³/atom

=====

#2
The following is a DFT calculation (GGA-PBE) of a relaxed structure of Hf4BeCo.

Cell: 6.4053 6.4053 5.1603 Å, 90.00 90.00 90.00°
With the nearest neighbours (Å) after each atom.
Space group I422 (No. 97)
Unique sites:
1 Hf 0.1651 0.3349 0.2500  2 Co 2.72, 2 Be 2.72, 3 Hf 2.99-3.00
2 Be 0.0000 0.0000 0.0000  2 Co 2.58, 8 Hf 2.72
3 Co 0.0000 0.0000 0.5000  2 Be 2.58, 8 Hf 2.72

Results
mass density = 12.3 g/cm³
volume = 17.6 Å³/atom

=====

How do the energies compare? Relative to the most stable structure, in meV per atom: #1 69; #2 0.

=====

#1
The following is a DFT calculation (GGA-PBE) of a relaxed structure of Be3CoHg.

Cell: 4.0393 4.0393 4.0393 Å, 90.00 90.00 90.00°
With the nearest neighbours (Å) after each atom.
Space group Pm-3m (No. 221)
Unique sites:
1 Be 0.0000 0.0000 0.5000  2 Co 2.02
2 Co 0.0000 0.0000 0.0000  6 Be 2.02
3 Hg 0.5000 0.5000 0.5000  12 Be 2.86

Results
mass density = 7.2 g/cm³
volume = 13.2 Å³/atom

=====

#2
The following is a DFT calculation (GGA-PBE) of a relaxed structure of Be3CoHg.

Cell: 4.3536 4.3536 4.3536 Å, 90.00 90.00 90.00°
With the nearest neighbours (Å) after each atom.
Space group Pm-3m (No. 221)
Unique sites:
1 Be 0.0000 0.0000 0.5000  2 Hg 2.18
2 Co 0.5000 0.5000 0.5000  12 Be 3.08
3 Hg 0.0000 0.0000 0.0000  6 Be 2.18

Results
mass density = 5.8 g/cm³
volume = 16.5 Å³/atom

=====

How do the energies compare? Relative to the most stable structure, in meV per atom: #1 0; #2 773.